# Ga2CuSn2Ir2 PBE optimized geometry
data_Ga2CuSn2Ir2
_chemical_formula_sum 'Ga2 Cu1 Sn2 Ir2'
_cell_length_a 4.605
_cell_length_b 4.605
_cell_length_c 7.249
_cell_angle_alpha 108.52
_cell_angle_beta 108.52
_cell_angle_gamma 90.00
_space_group_name_H-M_alt 'P 1'
_space_group_IT_number 1
loop_
_space_group_symop_operation_xyz
'x,y,z'
loop_
_atom_site_label
_atom_site_fract_x
_atom_site_fract_y
_atom_site_fract_z
Ga1 0.000 0.500 0.000
Ga2 0.500 0.000 0.000
Cu1 0.000 0.000 0.000
Sn1 0.195 0.195 0.391
Sn2 0.805 0.805 0.609
Ir1 0.396 0.396 0.792
Ir2 0.604 0.604 0.208
# crystal system = tetragonal
# energy of formation = 0.20 eV per atom
# N(E_F) = 3.43 states/eV per cell
# calculated volume = 19.62 Å³ per atom
# symmetry = I4/mmm
# size of the total moment = 0.000 μB per atom

# CaBiNO2 PBE optimized geometry
data_CaBiNO2
_chemical_formula_sum 'Ca1 Bi1 N1 O2'
_cell_length_a 4.283
_cell_length_b 4.283
_cell_length_c 4.410
_cell_angle_alpha 90.00
_cell_angle_beta 90.00
_cell_angle_gamma 90.00
_space_group_name_H-M_alt 'P 1'
_space_group_IT_number 1
loop_
_space_group_symop_operation_xyz
'x,y,z'
loop_
_atom_site_label
_atom_site_fract_x
_atom_site_fract_y
_atom_site_fract_z
Ca1 0.000 0.000 0.000
Bi1 0.500 0.500 0.500
O1 0.000 0.500 0.000
O2 0.500 0.000 0.000
N1 0.000 0.000 0.500
# crystal system = tetragonal
# N(E_F) = 3.60 states/eV per cell
# E_form (uncorrected) = -0.21 eV per formula unit
# calculated volume = 16.18 Å³ per atom
# symmetry = P4/mmm
# size of the total moment = 0.402 μB per atom